Entry 1:
Computed, not measured: a relaxed NdDyY3Sc crystal at the PBE-GGA level of DFT.

a = 4.9837 Å, b = 15.0098 Å, c = 10.0225 Å
α = 90.00°, β = 90.00°, γ = 90.00°
Space group Cmcm (No. 63)
Unique sites:
Nd 0.0000 0.0029 0.2500
Dy 0.0000 0.5000 0.0000
Y 0.0000 0.1671 0.0010
Y 0.0000 0.3307 0.2500
Sc 0.0000 0.3326 0.7500

Summary:
size of the total moment: 0.000 μB per atom
ΔH_f (0 K): 0.0418 eV per atom

---

Entry 2:
Computed, not measured: a relaxed NdDyY2Sc2 crystal at the PBE-GGA level of DFT.

a = 6.2925 Å, b = 17.4940 Å, c = 3.3609 Å
α = 90.00°, β = 90.00°, γ = 90.00°
Space group Pnnm (No. 58)
Unique sites:
Nd 0.0000 0.0000 0.0000
Dy 0.0000 0.5000 0.0000
Y 0.2196 0.1923 0.0000
Sc 0.2165 0.3550 0.5000

Summary:
size of the total moment: 0.000 μB per atom
ΔH_f (0 K): 0.2685 eV per atom

---

Entry 3:
Computed, not measured: a relaxed Nd2Dy2Y4Sc crystal at the PBE-GGA level of DFT.

a = 18.5862 Å, b = 3.5925 Å, c = 9.5265 Å
α = 90.00°, β = 115.56°, γ = 90.00°
Space group C2/m (No. 12)
Unique sites:
Nd 0.1629 0.0000 0.4972
Dy 0.1475 0.5000 0.1638
Y 0.0192 0.0000 0.8309
Y 0.1846 0.5000 0.8335
Sc 0.0000 0.5000 0.5000

Summary:
size of the total moment: 0.000 μB per atom
ΔH_f (0 K): 0.0137 eV per atom

---

Entry 4:
Computed, not measured: a relaxed NdDy5YSc2 crystal at the PBE-GGA level of DFT.

a = 5.5945 Å, b = 21.4555 Å, c = 9.3590 Å
α = 90.00°, β = 90.00°, γ = 90.00°
Space group Cmc2_1 (No. 36)
Unique sites:
Nd 0.0000 0.0976 0.0000
Dy 0.0000 0.0317 0.6671
Dy 0.0000 0.1090 0.3729
Dy 0.0000 0.1930 0.6940
Dy 0.0000 0.2342 0.0833
Dy 0.0000 0.4919 0.3951
Y 0.0000 0.3110 0.3974
Sc 0.0000 0.3574 0.7226
Sc 0.0000 0.3863 0.0909

Summary:
size of the total moment: 0.000 μB per atom
ΔH_f (0 K): 0.1698 eV per atom